No. 1
A relaxed Os3Cl crystal. Source: the Alexandria database, functional PBE.

a b c (Å): 3.9153 3.9153 3.9153
angles (deg): 90.00 90.00 90.00
Closest atoms and distances in Å follow each position.
Element x y z (fractional)
Os  0.0000  0.0000  0.5000  4 Cl 2.77, 8 Os 2.77
Os  0.0000  0.5000  0.0000  4 Cl 2.77, 8 Os 2.77
Os  0.5000  0.0000  0.0000  4 Cl 2.77, 8 Os 2.77
Cl  0.5000  0.5000  0.5000  12 Os 2.77

Properties
For the energy above the most stable polymorph in this dataset, the calculation gives 1200 meV per atom. For the uncorrected formation energy, the calculation gives 1.82 eV per atom. The crystal system is cubic. Its space group is Pm-3m.

No. 2
A relaxed LaPr2ThBi4 crystal. Source: the Alexandria database, functional PBE.

a b c (Å): 8.0274 4.6485 8.0495
angles (deg): 90.00 109.47 90.00
Closest atoms and distances in Å follow each position.
Element x y z (fractional)
La  0.0000  0.0000  0.0000  6 Bi 3.29
Pr  0.5000  0.0000  0.5000  6 Bi 3.27-3.28
Pr  0.5000  0.5000  0.0000  6 Bi 3.30-3.31
Th  0.0000  0.5000  0.5000  6 Bi 3.26-3.27
Bi  0.2482  0.0000  0.7467  2 Th 3.27, 3 Pr 3.27-3.30, 1 La 3.29
Bi  0.2496  0.5000  0.2532  1 Th 3.26, 3 Pr 3.28-3.31, 2 La 3.29
Bi  0.7504  0.5000  0.7468  1 Th 3.26, 3 Pr 3.28-3.31, 2 La 3.29
Bi  0.7518  0.0000  0.2533  2 Th 3.27, 3 Pr 3.27-3.30, 1 La 3.29

Properties
As for the energy of formation from the pure elements: -905 meV per atom. The crystal system is monoclinic. Its space group is P2/m.

Number 1: DOS at the Fermi energy 1.84 states/eV per atom. Number 2: DOS at the Fermi energy 0.23 states/eV per atom.